! NpGa2Os, relaxed, DFT PBE; values from VASP
! E: -7.49 eV per atom
! Space group: R-3m (166)
! Formation enthalpy at 0 K: 68.4 meV/atom
&SYSTEM
  ibrav = 0, nat = 4, ntyp = 3
/
ATOMIC_SPECIES
Np 237.00 Np.upf
Os 190.23 Os.upf
Ga 69.72 Ga.upf
CELL_PARAMETERS angstrom
-0.0947 -2.8587 -0.4296
2.4062 -1.5828 0.2659
-1.0928 -2.7852 9.0387
ATOMIC_POSITIONS crystal
Np 0.5000 0.5000 0.5000
Os 0.0000 0.0000 0.0000
Ga 0.7391 0.7391 0.7827
Ga 0.2609 0.2609 0.2173